Computed, not measured: HfTi2Ir2 after structural relaxation at the PBE-GGA level of DFT.

The energy of formation from the pure elements is -0.62 eV per atom. The calculation puts the energy relative to the lowest polymorph listed for this composition at 10 kJ/mol of formula units. The total energy is -9.313 eV/atom.

It has space group P4/mbm (No. 127), with a = 7.628 Å, b = 7.628 Å, c = 2.853 Å, α = 90.00°, β = 90.00° and γ = 90.00°. The inequivalent atoms are Hf at (0.000, 0.000, 0.000), Ti at (0.142, 0.358, 0.000) and Ir at (0.157, 0.657, 0.500).